The following is a GGA-PBE calculation of an optimized crystal structure of LiSnB, from Alexandria via LeMat-Bulk.

Cell lengths 11.725, 3.179, 6.028 Å; angles 90.00, 90.00, 90.00 degrees
Space group Pnma (No. 62)
One atom of each set of equivalent atoms:
1 Li 0.161 0.250 0.177 [4 per cell]
2 Sn 0.095 0.750 0.628 [4 per cell]
3 B 0.000 0.000 0.000 [4 per cell]

Summary:
Its polymorph energy (0 for the lowest one) is 0.200 eV/atom. The calculation puts the energy of formation at 0.1095 eV per atom.

***

The following is a GGA-PBE calculation of an optimized crystal structure of Cd2InHg2, from Alexandria via LeMat-Bulk.

Cell lengths 4.335, 4.335, 14.214 Å; angles 90.00, 90.00, 90.00 degrees
Space group I4/mmm (No. 139)
One atom of each set of equivalent atoms:
1 Cd 0.000 0.000 0.100 [4 per cell]
2 In 0.000 0.000 0.500 [2 per cell]
3 Hg 0.000 0.500 0.250 [4 per cell]

Summary:
Its polymorph energy (0 for the lowest one) is 0.058 eV/atom. The calculation puts the energy of formation at 0.0776 eV per atom.

***

The following is a GGA-PBE calculation of an optimized crystal structure of HgTe2P, from Alexandria via LeMat-Bulk.

Cell lengths 3.613, 3.613, 7.657 Å; angles 90.00, 90.00, 90.00 degrees
Space group P4/mmm (No. 123)
One atom of each set of equivalent atoms:
1 Hg 0.000 0.000 0.000 [1 per cell]
2 Te 0.500 0.500 0.294 [2 per cell]
3 P 0.000 0.000 0.500 [1 per cell]

Summary:
For the raw formation energy, the calculation gives 0.446 eV/atom. Its polymorph energy (0 for the lowest one) is 0.320 eV/atom.

***

The following is a GGA-PBE calculation of an optimized crystal structure of DyMgPd, from Alexandria via LeMat-Bulk.

Cell lengths 4.6451, 4.6451, 3.5261 Å; angles 90.00, 90.00, 120.00 degrees
Space group P-6m2 (No. 187)
One atom of each set of equivalent atoms:
1 Dy 0.0000 0.0000 0.0000 [1 per cell]
2 Mg 0.3333 0.6667 0.5000 [1 per cell]
3 Pd 0.6667 0.3333 0.5000 [1 per cell]

Summary:
The calculation puts the energy of formation at -0.4896 eV per atom.

***

The following is a GGA-PBE calculation of an optimized crystal structure of LiCd2Ag, from Alexandria via LeMat-Bulk.

Cell lengths 3.0163, 3.0163, 29.4596 Å; angles 90.00, 90.00, 120.00 degrees
Space group R-3m (No. 166, hexagonal axes)
One atom of each set of equivalent atoms:
1 Li 0.0000 0.0000 0.0000 [3 per cell]
2 Cd 0.0000 0.0000 0.2513 [6 per cell]
3 Ag 0.0000 0.0000 0.5000 [3 per cell]

Summary:
Its polymorph energy (0 for the lowest one) is 0.079 eV/atom. The calculation puts the energy of formation at -0.1215 eV per atom.

***

The following is a GGA-PBE calculation of an optimized crystal structure of CaSm2I8, from Alexandria via LeMat-Bulk.

Cell lengths 15.483, 11.100, 7.795 Å; angles 90.00, 98.20, 90.00 degrees
Space group C2/m (No. 12)
One atom of each set of equivalent atoms:
1 Ca 0.000 0.000 0.000 [2 per cell]
2 Sm 0.184 0.000 0.644 [4 per cell]
3 I 0.084 0.198 0.781 [8 per cell]
4 I 0.135 0.500 0.207 [4 per cell]
5 I 0.179 0.000 0.259 [4 per cell]

Summary:
For the raw formation energy, the calculation gives -1.321 eV/atom.

***

The following is a GGA-PBE calculation of an optimized crystal structure of BaPmSm, from Alexandria via LeMat-Bulk.

Cell lengths 3.8216, 3.8216, 9.5350 Å; angles 90.00, 90.00, 120.00 degrees
Space group P3m1 (No. 156)
One atom of each set of equivalent atoms:
1 Ba 0.0000 0.0000 0.0000 [1 per cell]
2 Pm 0.6667 0.3333 0.3547 [1 per cell]
3 Sm 0.3333 0.6667 0.6469 [1 per cell]

Summary:
Its polymorph energy (0 for the lowest one) is 0.012 eV/atom. The calculation puts the energy of formation at 0.1557 eV per atom.

***

The following is a GGA-PBE calculation of an optimized crystal structure of BeCoS3, from Alexandria via LeMat-Bulk.

Cell lengths 4.273, 4.273, 4.273 Å; angles 90.00, 90.00, 90.00 degrees
Space group Pm-3m (No. 221)
One atom of each set of equivalent atoms:
1 Be 0.000 0.000 0.000 [1 per cell]
2 Co 0.500 0.500 0.500 [1 per cell]
3 S 0.000 0.000 0.500 [3 per cell]

Summary:
For the raw formation energy, the calculation gives 0.652 eV/atom. Its polymorph energy (0 for the lowest one) is 0.000 eV/atom.

***

The following is a GGA-PBE calculation of an optimized crystal structure of Mo2PbSe, from Alexandria via LeMat-Bulk.

Cell lengths 3.433, 4.948, 9.927 Å; angles 90.00, 90.00, 90.00 degrees
Space group Cmm2 (No. 35)
One atom of each set of equivalent atoms:
1 Mo 0.000 0.000 0.000 [2 per cell]
2 Mo 0.000 0.500 0.195 [2 per cell]
3 Pb 0.000 0.500 0.746 [2 per cell]
4 Se 0.000 0.000 0.395 [2 per cell]

Summary:
For the raw formation energy, the calculation gives 0.357 eV/atom. Its polymorph energy (0 for the lowest one) is 0.219 eV/atom.

***

The following is a GGA-PBE calculation of an optimized crystal structure of PuAl2GaPd4, from Alexandria via LeMat-Bulk.

Cell lengths 4.3030, 4.3030, 26.0848 Å; angles 90.00, 90.00, 120.00 degrees
Space group R-3m (No. 166, hexagonal axes)
One atom of each set of equivalent atoms:
1 Pu 0.0000 0.0000 0.0000 [3 per cell]
2 Al 0.0000 0.0000 0.2405 [6 per cell]
3 Ga 0.0000 0.0000 0.5000 [3 per cell]
4 Pd 0.0000 0.0000 0.1334 [6 per cell]
5 Pd 0.0000 0.0000 0.4021 [6 per cell]

Summary:
The calculation puts the energy of formation at -0.6463 eV per atom.

***

The following is a GGA-PBE calculation of an optimized crystal structure of LaPmSc, from Alexandria via LeMat-Bulk.

Cell lengths 21.298, 3.466, 5.106 Å; angles 90.00, 90.01, 90.00 degrees
Space group Cm (No. 8)
One atom of each set of equivalent atoms:
1 La 0.000 0.000 0.000 [2 per cell]
2 La 0.099 0.000 0.500 [2 per cell]
3 Pm 0.185 0.500 0.000 [2 per cell]
4 Pm 0.415 0.000 0.500 [2 per cell]
5 Sc 0.261 0.000 0.500 [2 per cell]
6 Sc 0.338 0.500 0.001 [2 per cell]

Summary:
Its polymorph energy (0 for the lowest one) is 0.035 eV/atom. The calculation puts the energy of formation at 0.1011 eV per atom.

***

The following is a GGA-PBE calculation of an optimized crystal structure of Pm5Y3Ho, from Alexandria via LeMat-Bulk.

Cell lengths 15.299, 11.678, 9.942 Å; angles 90.00, 129.67, 90.00 degrees
Space group C2/m (No. 12)
One atom of each set of equivalent atoms:
1 Pm 0.000 0.247 0.000 [4 per cell]
2 Pm 0.150 0.248 0.743 [8 per cell]
3 Pm 0.225 0.500 0.046 [4 per cell]
4 Pm 0.228 0.000 0.237 [4 per cell]
5 Y 0.000 0.000 0.500 [2 per cell]
6 Y 0.000 0.500 0.000 [2 per cell]
7 Y 0.009 0.000 0.825 [4 per cell]
8 Y 0.016 0.500 0.354 [4 per cell]
9 Ho 0.248 0.000 0.594 [4 per cell]

Summary:
Its polymorph energy (0 for the lowest one) is 0.220 eV/atom. The calculation puts the energy of formation at 0.4993 eV per atom.

***

The following is a GGA-PBE calculation of an optimized crystal structure of Al6NiRu5, from Alexandria via LeMat-Bulk.

Cell lengths 4.223, 6.014, 12.641 Å; angles 90.00, 90.00, 90.00 degrees
Space group Immm (No. 71)
One atom of each set of equivalent atoms:
1 Al 0.000 0.245 0.000 [4 per cell]
2 Al 0.000 0.252 0.332 [8 per cell]
3 Ni 0.000 0.000 0.500 [2 per cell]
4 Ru 0.000 0.000 0.168 [4 per cell]
5 Ru 0.000 0.500 0.160 [4 per cell]
6 Ru 0.000 0.500 0.500 [2 per cell]

Summary:
The calculation puts the energy of formation at -0.6923 eV per atom.

***

The following is a GGA-PBE calculation of an optimized crystal structure of K2RbGePd, from Alexandria via LeMat-Bulk.

Cell lengths 6.338, 6.338, 4.876 Å; angles 90.00, 90.00, 90.00 degrees
Space group P4/mmm (No. 123)
One atom of each set of equivalent atoms:
1 K 0.000 0.500 0.000 [2 per cell]
2 Rb 0.000 0.000 0.500 [1 per cell]
3 Ge 0.500 0.500 0.500 [1 per cell]
4 Pd 0.500 0.500 0.000 [1 per cell]

Summary:
The calculation puts the energy of formation at -0.0464 eV per atom.

***

The following is a GGA-PBE calculation of an optimized crystal structure of CsLaBe2, from Alexandria via LeMat-Bulk.

Cell lengths 7.663, 7.663, 7.663 Å; angles 90.00, 90.00, 90.00 degrees
Space group Fm-3m (No. 225)
One atom of each set of equivalent atoms:
1 Cs 0.000 0.000 0.000 [4 per cell]
2 La 0.000 0.000 0.500 [4 per cell]
3 Be 0.250 0.250 0.250 [8 per cell]

Summary:
The calculation puts the energy of formation at 1.0369 eV per atom.

***

The following is a GGA-PBE calculation of an optimized crystal structure of CsInBr2Cl, from Alexandria via LeMat-Bulk.

Cell lengths 5.746, 5.746, 5.524 Å; angles 90.00, 90.00, 90.00 degrees
Space group P4/mmm (No. 123)
One atom of each set of equivalent atoms:
1 Cs 0.000 0.000 0.000 [1 per cell]
2 In 0.500 0.500 0.500 [1 per cell]
3 Br 0.000 0.500 0.500 [2 per cell]
4 Cl 0.500 0.500 0.000 [1 per cell]

Summary:
For the raw formation energy, the calculation gives -1.268 eV/atom.

***

Total magnetization? In order: 0.000; 0.000; 0.000; 0.000; 0.000; 0.000; 0.000; 2.629; 0.000; 16.444; 0.000; 0.001; 0.000; 0.001; 0.000; 0.000 μB/cell.